Record 1
Compound: DyPu2NiN4
Source: Alexandria
Functional: PBE-GGA
Structure: relaxed

VASP energy = -10.09 eV/atom
space-group type = Cmcm (63)
formation energy from raw total energies = -1.04 eV per atom

a b c (Å): 5.7926 5.7926 11.3920
angles (deg): 90.00 90.00 145.81
Closest atoms and distances in Å follow each position.
Sites, in units of the cell vectors:
Dy (0.1059, 0.8941, 0.7500)  6 N 2.43-2.69
Dy (0.8941, 0.1059, 0.2500)  6 N 2.43-2.69
Pu (0.3699, 0.6301, 0.5583)  6 N 2.28-2.37
Pu (0.3699, 0.6301, 0.9417)  6 N 2.28-2.37
Pu (0.6301, 0.3699, 0.0583)  6 N 2.28-2.37
Pu (0.6301, 0.3699, 0.4417)  6 N 2.28-2.37
Ni (0.1585, 0.8415, 0.2500)  4 N 1.95-2.08
Ni (0.8415, 0.1585, 0.7500)  4 N 1.95-2.08
N (0.0000, 0.0000, 0.0000)  4 Pu 2.33
N (0.0000, 0.0000, 0.5000)  4 Pu 2.33
N (0.2672, 0.7328, 0.1148)  1 Ni 1.95
N (0.2672, 0.7328, 0.3852)  1 Ni 1.95
N (0.4499, 0.5501, 0.7500)  2 Ni 2.08
N (0.5501, 0.4499, 0.2500)  2 Ni 2.08
N (0.7328, 0.2672, 0.6148)  1 Ni 1.95
N (0.7328, 0.2672, 0.8852)  1 Ni 1.95

***

Record 2
Compound: DySiNiN
Source: Alexandria
Functional: PBE-GGA
Structure: relaxed

VASP energy = -7.16 eV/atom
space-group type = P4/nmm (129)
formation energy from raw total energies = -1.13 eV per atom

a b c (Å): 3.6437 3.6437 8.2556
angles (deg): 90.00 90.00 90.00
Closest atoms and distances in Å follow each position.
Sites, in units of the cell vectors:
Dy (0.2500, 0.2500, 0.1528)  1 N 2.29
Dy (0.7500, 0.7500, 0.8472)  1 N 2.29
Si (0.2500, 0.2500, 0.6620)  1 N 1.76
Si (0.7500, 0.7500, 0.3380)  1 N 1.76
Ni (0.2500, 0.7500, 0.5000)  4 Si 2.26
Ni (0.7500, 0.2500, 0.5000)  4 Si 2.26
N (0.2500, 0.2500, 0.8758)  1 Si 1.76
N (0.7500, 0.7500, 0.1242)  1 Si 1.76